1) ## AcCdIn (GGA-PBE)

Data for an optimized crystal structure of AcCdIn.

The structure in extended XYZ format:
```
3
Lattice="0.000 3.662 3.662 3.662 0.000 3.662 3.662 3.662 0.000" Properties=species:S:1:pos:R:3 pbc="T T T"
Ac 1.831 1.831 1.831
Cd 0.000 0.000 0.000
In 5.493 5.493 5.493
```

---

2) ## AcCdIn (GGA-PBE)

Data for an optimized crystal structure of AcCdIn.

The structure in extended XYZ format:
```
3
Lattice="3.803 -1.850 3.379 -0.598 0.613 5.345 -1.015 -4.305 3.121" Properties=species:S:1:pos:R:3 pbc="T T T"
Ac 0.000 0.000 0.000
Cd 0.547 -1.385 2.961
In 1.642 -4.156 8.884
```

---

Short version: 2) is the least stable of them.

---

1) ## LiAcCd (GGA-PBE)

Data for an optimized crystal structure of LiAcCd.

The structure in extended XYZ format:
```
3
Lattice="0.000 3.572 3.572 3.572 0.000 3.572 3.572 3.572 0.000" Properties=species:S:1:pos:R:3 pbc="T T T"
Ac 1.786 1.786 1.786
Cd 5.359 5.359 5.359
Li 0.000 0.000 0.000
```

---

2) ## LiAcCd (GGA-PBE)

Data for an optimized crystal structure of LiAcCd.

The structure in extended XYZ format:
```
3
Lattice="0.000 3.755 3.755 3.755 0.000 3.755 3.755 3.755 0.000" Properties=species:S:1:pos:R:3 pbc="T T T"
Ac 0.000 0.000 0.000
Cd 1.878 1.878 1.878
Li 5.633 5.633 5.633
```

---

Short version: 2) is the least stable of them.

---

1) ## AcLuCd (GGA-PBE)

Data for an optimized crystal structure of AcLuCd.

The structure in extended XYZ format:
```
3
Lattice="0.000 3.691 3.691 3.691 0.000 3.691 3.691 3.691 0.000" Properties=species:S:1:pos:R:3 pbc="T T T"
Ac 1.846 1.846 1.846
Cd 5.537 5.537 5.537
Lu 0.000 0.000 0.000
```

---

2) ## AcLuCd (GGA-PBE)

Data for an optimized crystal structure of AcLuCd.

The structure in extended XYZ format:
```
3
Lattice="3.729 -3.647 -1.394 -1.483 -5.042 -1.232 0.306 -1.733 -5.104" Properties=species:S:1:pos:R:3 pbc="T T T"
Ac 0.000 0.000 0.000
Cd 0.638 -2.605 -1.932
Lu 1.914 -7.816 -5.797
```

---

Short version: 2) is the least stable of them.

---

1) ## AcNbCd (GGA-PBE)

Data for an optimized crystal structure of AcNbCd.

The structure in extended XYZ format:
```
3
Lattice="1.910 3.684 2.880 -1.875 0.825 4.617 2.743 -1.151 4.082" Properties=species:S:1:pos:R:3 pbc="T T T"
Ac 1.389 1.679 5.790
Cd 0.000 0.000 0.000
Nb 0.695 0.839 2.895
```

---

2) ## AcNbCd (GGA-PBE)

Data for an optimized crystal structure of AcNbCd.

The structure in extended XYZ format:
```
3
Lattice="-2.494 1.422 4.368 -1.482 4.968 0.664 -5.070 1.261 -0.178" Properties=species:S:1:pos:R:3 pbc="T T T"
Ac 0.000 0.000 0.000
Cd -2.262 1.913 1.214
Nb -6.785 5.738 3.641
```

---

Short version: 2) is the least stable of them.